Record 1
VASP calculation (PBE) on a geometry-optimized RbCoP2 structure.

abc: 7.7623 7.7623 7.7623
angles: 140.67 140.67 56.84
Fractional coordinates of all 8 atoms:
Rb1 0.3750 0.6250 0.7500
Rb2 0.6250 0.3750 0.2500
Co1 0.1250 0.8750 0.2500
Co2 0.8750 0.1250 0.7500
P1 0.0000 0.0000 0.0000
P2 0.0000 0.0000 0.5000
P3 0.0000 0.5000 0.0000
P4 0.5000 0.0000 0.5000

Properties
Formation energy from the elements: -151.4 meV/atom
DOS(E_F): 4.7 states/eV per cell

=====

Record 2
VASP calculation (PBE) on a geometry-optimized RbCoP structure.

abc: 4.0404 6.4792 6.8126
angles: 106.94 107.13 90.14
Fractional coordinates of all 6 atoms:
Rb1 0.0969 0.3135 0.1957
Rb2 0.9031 0.6865 0.8043
Co1 0.2009 0.8989 0.4019
Co2 0.7991 0.1011 0.5981
P1 0.3454 0.1756 0.6907
P2 0.6546 0.8244 0.3093

Properties
Formation energy from the elements: -345.3 meV/atom
DOS(E_F): 1.1 states/eV per cell

=====

For the records above, the corresponding E_tot values read -39.00 -29.04 eV for the cell shown.